(1)
The following is a DFT calculation (meta-GGA SCAN) of LaFeCo2 at its PBEsol-relaxed geometry.

- E_form (eV/atom) = 0.040
- energy (eV/atom) = -23.92
- symmetry = R3m, No. 160
- total magnetization (μB per atom) = 1.125

a b c (Å): 5.397 5.397 5.397
angles (deg): 43.47 43.47 43.47
Element x y z (fractional)
La (0.000, 0.000, 0.000)
Fe (0.187, 0.187, 0.187)
Co (0.501, 0.501, 0.501)
Co (0.813, 0.813, 0.813)

=====

(2)
The following is a DFT calculation (meta-GGA SCAN) of AlZnRe at its PBEsol-relaxed geometry.

- E_form (eV/atom) = 0.667
- energy (eV/atom) = -30.12
- energy above the lowest structure with this stoichiometry (meV per atom) = 595.8
- symmetry = F-43m, No. 216
- total magnetization (μB per atom) = 0.336

a b c (Å): 4.069 4.069 4.069
angles (deg): 60.00 60.00 60.00
Element x y z (fractional)
Al (0.000, 0.000, 0.000)
Zn (0.250, 0.250, 0.250)
Re (0.500, 0.500, 0.500)

=====

(3)
The following is a DFT calculation (meta-GGA SCAN) of SrSi2P at its PBEsol-relaxed geometry.

- energy relative to the elements, uncorrected (meV/atom) = 70
- energy (eV/atom) = -13.11
- symmetry = P4/mmm, No. 123
- total magnetization (μB per atom) = 0.000

a b c (Å): 3.499 3.499 6.361
angles (deg): 90.00 90.00 90.00
Element x y z (fractional)
Sr (0.000, 0.000, 0.000)
Si (0.500, 0.500, 0.322)
Si (0.500, 0.500, 0.678)
P (0.000, 0.000, 0.500)

=====

(4)
The following is a DFT calculation (meta-GGA SCAN) of Be2AlHg at its PBEsol-relaxed geometry.

- E_form (eV/atom) = 0.322
- energy (eV/atom) = -20.83
- symmetry = Cmmm, No. 65
- total magnetization (μB per atom) = 0.000

a b c (Å): 4.468 4.468 2.946
angles (deg): 90.00 90.00 109.73
Element x y z (fractional)
Be (0.000, 0.500, 0.000)
Be (0.500, 0.000, 0.000)
Al (0.000, 0.000, 0.500)
Hg (0.500, 0.500, 0.500)

=====

(5)
The following is a DFT calculation (meta-GGA SCAN) of InH3W at its PBEsol-relaxed geometry.

- energy (eV/atom) = -22.16
- symmetry = Pm-3m, No. 221
- total magnetization (μB per atom) = 0.000

a b c (Å): 3.600 3.600 3.600
angles (deg): 90.00 90.00 90.00
Element x y z (fractional)
In (0.000, 0.000, 0.000)
H (0.000, 0.500, 0.500)
H (0.500, 0.000, 0.500)
H (0.500, 0.500, 0.000)
W (0.500, 0.500, 0.500)

=====

(6)
The following is a DFT calculation (meta-GGA SCAN) of SrNbI3 at its PBEsol-relaxed geometry.

- energy relative to the elements, uncorrected (meV/atom) = -452
- energy (eV/atom) = -33.58
- symmetry = Pm-3m, No. 221
- total magnetization (μB per atom) = 0.712

a b c (Å): 5.605 5.605 5.605
angles (deg): 90.00 90.00 90.00
Element x y z (fractional)
Sr (0.000, 0.000, 0.000)
Nb (0.500, 0.500, 0.500)
I (0.000, 0.500, 0.500)
I (0.500, 0.000, 0.500)
I (0.500, 0.500, 0.000)

=====

> What is the total magnetization in the first record?

1.125 μB per atom